This record from Alexandria via LeMat-Bulk describes MgTl at its PBEsol-relaxed geometry. The functional is SCAN.

Values from the calculation:
Crystal system   tetragonal
Size of the total moment   0.0 Bohr magnetons per cell
Energy of formation   -0.010 eV/atom
DOS at the Fermi energy   0.4251 states/eV per atom
Symmetry   P4/nmm

Structure (CIF):
```
data_MgTl
_cell_length_a 3.312
_cell_length_b 3.312
_cell_length_c 9.126
_cell_angle_alpha 90.00
_cell_angle_beta 90.00
_cell_angle_gamma 90.00
_space_group_name_H-M_alt 'P 1'
_space_group_IT_number 1
loop_
_space_group_symop_operation_xyz
'x,y,z'
loop_
_atom_site_label
_atom_site_type_symbol
_atom_site_fract_x
_atom_site_fract_y
_atom_site_fract_z
Tl1 Tl 0.500 0.000 0.639
Tl2 Tl 0.000 0.500 0.361
Mg1 Mg 0.500 0.000 0.117
Mg2 Mg 0.000 0.500 0.883
```